Entry 1:
This record from Alexandria describes a relaxed LiLa2Br crystal. The functional is GGA-PBE.

It has space group Immm (No. 71), with a = 3.620 Å, b = 5.389 Å, c = 12.855 Å, α = 90.00°, β = 90.00° and γ = 90.00°. Symmetry generates all atoms from Li at (0.000, 0.000, 0.000), La at (0.000, 0.500, 0.205) and Br at (0.000, 0.000, 0.500).

The total magnetization is 0.00 Bohr magnetons per cell. The energy above the most stable polymorph in this dataset comes out at 180 meV per atom.

=====

Entry 2:
This record from Alexandria describes a relaxed Sc4Te2C crystal. The functional is GGA-PBE.

It has space group I4/mmm (No. 139), with a = 4.421 Å, b = 4.421 Å, c = 14.988 Å, α = 90.00°, β = 90.00° and γ = 90.00°. Symmetry generates all atoms from Sc at (0.000, 0.000, 0.155), Sc at (0.000, 0.500, 0.000), Te at (0.000, 0.000, 0.354) and C at (0.000, 0.000, 0.000).

The total magnetization is 0.00 Bohr magnetons per cell. The energy above the most stable polymorph in this dataset comes out at 57 meV per atom.

=====

Entry 3:
This record from Alexandria describes a relaxed Li2CuTc crystal. The functional is GGA-PBE.

It has space group I4/mmm (No. 139), with a = 3.575 Å, b = 3.575 Å, c = 8.697 Å, α = 90.00°, β = 90.00° and γ = 90.00°. Symmetry generates all atoms from Li at (0.000, 0.500, 0.250), Cu at (0.000, 0.000, 0.000) and Tc at (0.000, 0.000, 0.500).

The total magnetization is 3.30 Bohr magnetons per cell. As for the calculated formation energy: 0.450 eV/atom. The energy above the most stable polymorph in this dataset comes out at 333 meV per atom.